# 1
Ce2NdY3Tm6 | GGA-PBE | relaxed

CIF file:
```
data_Ce2NdY3Tm6
_cell_length_a 6.1180
_cell_length_b 10.5939
_cell_length_c 11.6647
_cell_angle_alpha 90.00
_cell_angle_beta 100.06
_cell_angle_gamma 90.00
_space_group_name_H-M_alt 'C 1 2/m 1'
_space_group_IT_number 12
loop_
_space_group_symop_operation_xyz
'x,y,z'
'-x,-y,-z'
'-x,y,-z'
'x,-y,z'
'x+1/2,y+1/2,z'
'-x+1/2,-y+1/2,-z'
'-x+1/2,y+1/2,-z'
'x+1/2,-y+1/2,z'
loop_
_atom_site_label
_atom_site_type_symbol
_atom_site_fract_x
_atom_site_fract_y
_atom_site_fract_z
_atom_site_occupancy
Ce1 Ce 0.0000 0.1668 0.0000 1
Nd1 Nd 0.0000 0.5000 0.0000 1
Y1 Y 0.0000 0.0000 0.5000 1
Y2 Y 0.0000 0.3337 0.5000 1
Tm1 Tm 0.2471 0.0000 0.2490 1
Tm2 Tm 0.2487 0.1680 0.7509 1
```

## Properties
M_tot: 1.75 μB per formula unit
total energy: -5.18 eV/atom
formation energy from the elements: 0.05 eV/atom

# 2
Ce2NdV | GGA-PBE | relaxed

CIF file:
```
data_Ce2NdV
_cell_length_a 3.2136
_cell_length_b 3.2136
_cell_length_c 33.8589
_cell_angle_alpha 90.00
_cell_angle_beta 90.00
_cell_angle_gamma 120.00
_space_group_name_H-M_alt 'R -3 m'
_space_group_IT_number 166
_space_group_name_Hall '-R 3 2"'
loop_
_atom_site_label
_atom_site_type_symbol
_atom_site_fract_x
_atom_site_fract_y
_atom_site_fract_z
_atom_site_occupancy
Ce1 Ce 0.0000 0.0000 0.0735 1
Nd1 Nd 0.0000 0.0000 0.5000 1
V1 V 0.0000 0.0000 0.0000 1
```

## Properties
M_tot: 1.60 μB per formula unit
total energy: -5.92 eV/atom
formation energy from the elements: 0.52 eV/atom

# 3
CeNd6Y | GGA-PBE | relaxed

CIF file:
```
data_CeNd6Y
_cell_length_a 6.0589
_cell_length_b 6.0750
_cell_length_c 14.9309
_cell_angle_alpha 90.00
_cell_angle_beta 90.00
_cell_angle_gamma 90.00
_space_group_name_H-M_alt 'I m m m'
_space_group_IT_number 71
_space_group_name_Hall '-I 2 2'
loop_
_atom_site_label
_atom_site_type_symbol
_atom_site_fract_x
_atom_site_fract_y
_atom_site_fract_z
_atom_site_occupancy
Ce1 Ce 0.0000 0.0000 0.0000 1
Nd1 Nd 0.0000 0.0000 0.2483 1
Nd2 Nd 0.0000 0.5000 0.1205 1
Nd3 Nd 0.0000 0.5000 0.3794 1
Y1 Y 0.0000 0.0000 0.5000 1
```

## Properties
M_tot: 1.66 μB per formula unit
energy relative to the lowest polymorph listed for this composition: 0.0900 eV/atom
total energy: -4.99 eV/atom
formation energy from the elements: 0.14 eV/atom

# 4
CeNd3Y4 | GGA-PBE | relaxed

CIF file:
```
data_CeNd3Y4
_cell_length_a 25.6195
_cell_length_b 3.4527
_cell_length_c 6.1238
_cell_angle_alpha 90.00
_cell_angle_beta 95.07
_cell_angle_gamma 90.00
_space_group_name_H-M_alt 'C 1 2/m 1'
_space_group_IT_number 12
loop_
_space_group_symop_operation_xyz
'x,y,z'
'-x,-y,-z'
'-x,y,-z'
'x,-y,z'
'x+1/2,y+1/2,z'
'-x+1/2,-y+1/2,-z'
'-x+1/2,y+1/2,-z'
'x+1/2,-y+1/2,z'
loop_
_atom_site_label
_atom_site_type_symbol
_atom_site_fract_x
_atom_site_fract_y
_atom_site_fract_z
_atom_site_occupancy
Ce1 Ce 0.0000 0.0000 0.0000 1
Nd1 Nd 0.0000 0.5000 0.5000 1
Nd2 Nd 0.1458 0.5000 0.7417 1
Y1 Y 0.1057 0.5000 0.2241 1
Y2 Y 0.2211 0.0000 0.2373 1
```

## Properties
M_tot: 0.95 μB per formula unit
total energy: -5.51 eV/atom
formation energy from the elements: 0.25 eV/atom

# 5
CeNd6Y2 | GGA-PBE | relaxed

CIF file:
```
data_CeNd6Y2
_cell_length_a 3.6348
_cell_length_b 3.6348
_cell_length_c 27.1166
_cell_angle_alpha 90.00
_cell_angle_beta 90.00
_cell_angle_gamma 120.00
_space_group_name_H-M_alt 'P -6 m 2'
_space_group_IT_number 187
_space_group_name_Hall 'P -6 2'
loop_
_atom_site_label
_atom_site_type_symbol
_atom_site_fract_x
_atom_site_fract_y
_atom_site_fract_z
_atom_site_occupancy
Ce1 Ce 0.0000 0.0000 0.0000 1
Nd1 Nd 0.0000 0.0000 0.2198 1
Nd2 Nd 0.0000 0.0000 0.4337 1
Nd3 Nd 0.3333 0.6667 0.1067 1
Y1 Y 0.3333 0.6667 0.3284 1
```

## Properties
M_tot: 0.00 μB per formula unit
total energy: -5.20 eV/atom
formation energy from the elements: 0.08 eV/atom

# 6
CeNdY2 | GGA-PBE | relaxed

CIF file:
```
data_CeNdY2
_cell_length_a 3.5862
_cell_length_b 3.5862
_cell_length_c 34.8429
_cell_angle_alpha 90.00
_cell_angle_beta 90.00
_cell_angle_gamma 120.00
_space_group_name_H-M_alt 'R 3 m'
_space_group_IT_number 160
_space_group_name_Hall 'R 3 -2"'
loop_
_atom_site_label
_atom_site_type_symbol
_atom_site_fract_x
_atom_site_fract_y
_atom_site_fract_z
_atom_site_occupancy
Ce1 Ce 0.0000 0.0000 0.0000 1
Nd1 Nd 0.0000 0.0000 0.1660 1
Y1 Y 0.0000 0.0000 0.4142 1
Y2 Y 0.0000 0.0000 0.5857 1
```

## Properties
M_tot: 0.67 μB per formula unit
energy relative to the lowest polymorph listed for this composition: 0.0019 eV/atom
total energy: -5.85 eV/atom
formation energy from the elements: 0.06 eV/atom

# 7
CeNd6Y8 | GGA-PBE | relaxed

CIF file:
```
data_CeNd6Y8
_cell_length_a 9.1448
_cell_length_b 9.1448
_cell_length_c 21.0441
_cell_angle_alpha 90.00
_cell_angle_beta 90.00
_cell_angle_gamma 120.00
_space_group_name_H-M_alt 'R -3'
_space_group_IT_number 148
_space_group_name_Hall '-R 3'
loop_
_atom_site_label
_atom_site_type_symbol
_atom_site_fract_x
_atom_site_fract_y
_atom_site_fract_z
_atom_site_occupancy
Ce1 Ce 0.0000 0.0000 0.0000 1
Nd1 Nd 0.0605 0.8107 0.7099 1
Y1 Y 0.0000 0.0000 0.4225 1
Y2 Y 0.0814 0.5177 0.8059 1
```

## Properties
M_tot: 1.31 μB per formula unit
total energy: -5.63 eV/atom
formation energy from the elements: 0.12 eV/atom

# 8
CeNd8Y2 | GGA-PBE | relaxed

CIF file:
```
data_CeNd8Y2
_cell_length_a 18.6124
_cell_length_b 5.1658
_cell_length_c 8.1582
_cell_angle_alpha 90.00
_cell_angle_beta 105.26
_cell_angle_gamma 90.00
_space_group_name_H-M_alt 'C 1 2/m 1'
_space_group_IT_number 12
loop_
_space_group_symop_operation_xyz
'x,y,z'
'-x,-y,-z'
'-x,y,-z'
'x,-y,z'
'x+1/2,y+1/2,z'
'-x+1/2,-y+1/2,-z'
'-x+1/2,y+1/2,-z'
'x+1/2,-y+1/2,z'
loop_
_atom_site_label
_atom_site_type_symbol
_atom_site_fract_x
_atom_site_fract_y
_atom_site_fract_z
_atom_site_occupancy
Ce1 Ce 0.0000 0.0000 0.0000 1
Nd1 Nd 0.0453 0.5000 0.7320 1
Nd2 Nd 0.0909 0.0000 0.4530 1
Nd3 Nd 0.1357 0.5000 0.1821 1
Nd4 Nd 0.1806 0.0000 0.9102 1
Y1 Y 0.2278 0.5000 0.6358 1
```

## Properties
M_tot: 0.94 μB per formula unit
total energy: -5.14 eV/atom
formation energy from the elements: 0.04 eV/atom

# 9
CeNdY | GGA-PBE | relaxed

CIF file:
```
data_CeNdY
_cell_length_a 5.6432
_cell_length_b 5.6432
_cell_length_c 3.5238
_cell_angle_alpha 90.00
_cell_angle_beta 90.00
_cell_angle_gamma 120.00
_space_group_name_H-M_alt 'P -6 m 2'
_space_group_IT_number 187
_space_group_name_Hall 'P -6 2'
loop_
_atom_site_label
_atom_site_type_symbol
_atom_site_fract_x
_atom_site_fract_y
_atom_site_fract_z
_atom_site_occupancy
Ce1 Ce 0.0000 0.0000 0.0000 1
Nd1 Nd 0.6667 0.3333 0.0000 1
Y1 Y 0.3333 0.6667 0.5000 1
```

## Properties
M_tot: 1.14 μB per formula unit
energy relative to the lowest polymorph listed for this composition: 0.0545 eV/atom
total energy: -5.61 eV/atom
formation energy from the elements: 0.11 eV/atom

# 10
CeNdY2 | GGA-PBE | relaxed

CIF file:
```
data_CeNdY2
_cell_length_a 3.5776
_cell_length_b 3.5776
_cell_length_c 34.9215
_cell_angle_alpha 90.00
_cell_angle_beta 90.00
_cell_angle_gamma 120.00
_space_group_name_H-M_alt 'R -3 m'
_space_group_IT_number 166
_space_group_name_Hall '-R 3 2"'
loop_
_atom_site_label
_atom_site_type_symbol
_atom_site_fract_x
_atom_site_fract_y
_atom_site_fract_z
_atom_site_occupancy
Ce1 Ce 0.0000 0.0000 0.0000 1
Nd1 Nd 0.0000 0.0000 0.5000 1
Y1 Y 0.0000 0.0000 0.2519 1
```

## Properties
M_tot: 0.77 μB per formula unit
energy relative to the lowest polymorph listed for this composition: 0.0000 eV/atom
total energy: -5.85 eV/atom
formation energy from the elements: 0.06 eV/atom

# 11
CeNd4Y7 | GGA-PBE | relaxed

CIF file:
```
data_CeNd4Y7
_cell_length_a 12.1447
_cell_length_b 5.8857
_cell_length_c 12.9338
_cell_angle_alpha 90.00
_cell_angle_beta 116.84
_cell_angle_gamma 90.00
_space_group_name_H-M_alt 'C 1 2/m 1'
_space_group_IT_number 12
loop_
_space_group_symop_operation_xyz
'x,y,z'
'-x,-y,-z'
'-x,y,-z'
'x,-y,z'
'x+1/2,y+1/2,z'
'-x+1/2,-y+1/2,-z'
'-x+1/2,y+1/2,-z'
'x+1/2,-y+1/2,z'
loop_
_atom_site_label
_atom_site_type_symbol
_atom_site_fract_x
_atom_site_fract_y
_atom_site_fract_z
_atom_site_occupancy
Ce1 Ce 0.0000 0.0000 0.0000 1
Nd1 Nd 0.1355 0.5000 0.7767 1
Nd2 Nd 0.2231 0.0000 0.6686 1
Y1 Y 0.0000 0.5000 0.0000 1
Y2 Y 0.0702 0.0000 0.3116 1
Y3 Y 0.1337 0.5000 0.4960 1
Y4 Y 0.2053 0.0000 0.9240 1
```

## Properties
M_tot: 0.15 μB per formula unit
total energy: -5.58 eV/atom
formation energy from the elements: 0.27 eV/atom

# 12
CeNd3Y12 | GGA-PBE | relaxed

CIF file:
```
data_CeNd3Y12
_cell_length_a 5.0873
_cell_length_b 5.0873
_cell_length_c 20.3063
_cell_angle_alpha 90.00
_cell_angle_beta 90.00
_cell_angle_gamma 90.00
_space_group_name_H-M_alt 'P 4/m m m'
_space_group_IT_number 123
_space_group_name_Hall '-P 4 2'
loop_
_atom_site_label
_atom_site_type_symbol
_atom_site_fract_x
_atom_site_fract_y
_atom_site_fract_z
_atom_site_occupancy
Ce1 Ce 0.0000 0.0000 0.0000 1
Nd1 Nd 0.0000 0.0000 0.2480 1
Nd2 Nd 0.0000 0.0000 0.5000 1
Y1 Y 0.0000 0.5000 0.1223 1
Y2 Y 0.0000 0.5000 0.3741 1
Y3 Y 0.5000 0.5000 0.0000 1
Y4 Y 0.5000 0.5000 0.2492 1
Y5 Y 0.5000 0.5000 0.5000 1
```

## Properties
M_tot: 0.99 μB per formula unit
total energy: -6.08 eV/atom
formation energy from the elements: 0.03 eV/atom

# 13
CeNdY | GGA-PBE | relaxed

CIF file:
```
data_CeNdY
_cell_length_a 6.5211
_cell_length_b 3.4767
_cell_length_c 8.7836
_cell_angle_alpha 90.00
_cell_angle_beta 90.00
_cell_angle_gamma 90.00
_space_group_name_H-M_alt 'P m m a'
_space_group_IT_number 51
loop_
_space_group_symop_operation_xyz
'x,y,z'
'-x,-y,-z'
'-x+1/2,-y,z'
'x+1/2,y,-z'
'x+1/2,-y,-z'
'-x+1/2,y,z'
'-x,y,-z'
'x,-y,z'
loop_
_atom_site_label
_atom_site_type_symbol
_atom_site_fract_x
_atom_site_fract_y
_atom_site_fract_z
_atom_site_occupancy
Ce1 Ce 0.2500 0.0000 0.1542 1
Nd1 Nd 0.0000 0.0000 0.5000 1
Y1 Y 0.2500 0.5000 0.8145 1
```

## Properties
M_tot: 1.43 μB per formula unit
energy relative to the lowest polymorph listed for this composition: 0.1997 eV/atom
total energy: -5.47 eV/atom
formation energy from the elements: 0.25 eV/atom

# 14
CeNd3Y | GGA-PBE | relaxed

CIF file:
```
data_CeNd3Y
_cell_length_a 15.7590
_cell_length_b 9.1323
_cell_length_c 9.5307
_cell_angle_alpha 90.00
_cell_angle_beta 90.00
_cell_angle_gamma 90.00
_space_group_name_H-M_alt 'C m c m'
_space_group_IT_number 63
_space_group_name_Hall '-C 2c 2'
loop_
_atom_site_label
_atom_site_type_symbol
_atom_site_fract_x
_atom_site_fract_y
_atom_site_fract_z
_atom_site_occupancy
Ce1 Ce 0.2106 0.1829 0.2500 1
Nd1 Nd 0.1117 0.1558 0.5783 1
Nd2 Nd 0.1708 0.5000 0.0000 1
Y1 Y 0.0000 0.1481 0.2500 1
Y2 Y 0.0000 0.4733 0.7500 1
```

## Properties
M_tot: 0.00 μB per formula unit
total energy: -5.11 eV/atom
formation energy from the elements: 0.23 eV/atom

# 15
CeNd8Y4 | GGA-PBE | relaxed

CIF file:
```
data_CeNd8Y4
_cell_length_a 11.9008
_cell_length_b 11.9008
_cell_length_c 11.5901
_cell_angle_alpha 90.00
_cell_angle_beta 90.00
_cell_angle_gamma 120.00
_space_group_name_H-M_alt 'R -3 m'
_space_group_IT_number 166
_space_group_name_Hall '-R 3 2"'
loop_
_atom_site_label
_atom_site_type_symbol
_atom_site_fract_x
_atom_site_fract_y
_atom_site_fract_z
_atom_site_occupancy
Ce1 Ce 0.0000 0.0000 0.0000 1
Nd1 Nd 0.0000 0.0000 0.2525 1
Nd2 Nd 0.0010 0.5005 0.1678 1
Y1 Y 0.0000 0.0000 0.5000 1
Y2 Y 0.0000 0.5000 0.5000 1
```

## Properties
M_tot: 1.15 μB per formula unit
total energy: -4.95 eV/atom
formation energy from the elements: 0.43 eV/atom

# 16
CeNd12Y7 | GGA-PBE | relaxed

CIF file:
```
data_CeNd12Y7
_cell_length_a 16.0769
_cell_length_b 16.0769
_cell_length_c 9.2493
_cell_angle_alpha 90.00
_cell_angle_beta 90.00
_cell_angle_gamma 120.00
_space_group_name_H-M_alt 'R -3'
_space_group_IT_number 148
_space_group_name_Hall '-R 3'
loop_
_atom_site_label
_atom_site_type_symbol
_atom_site_fract_x
_atom_site_fract_y
_atom_site_fract_z
_atom_site_occupancy
Ce1 Ce 0.0000 0.0000 0.0000 1
Nd1 Nd 0.0286 0.2655 0.3460 1
Nd2 Nd 0.0698 0.5646 0.6614 1
Y1 Y 0.0000 0.0000 0.5000 1
Y2 Y 0.0148 0.1562 0.7001 1
```

## Properties
M_tot: 1.06 μB per formula unit
energy relative to the lowest polymorph listed for this composition: 0.0000 eV/atom
total energy: -5.27 eV/atom
formation energy from the elements: 0.15 eV/atom

# 17
CeNd6Y12 | GGA-PBE | relaxed

CIF file:
```
data_CeNd6Y12
_cell_length_a 13.4472
_cell_length_b 13.4472
_cell_length_c 12.5581
_cell_angle_alpha 90.00
_cell_angle_beta 90.00
_cell_angle_gamma 120.00
_space_group_name_H-M_alt 'R -3 m'
_space_group_IT_number 166
_space_group_name_Hall '-R 3 2"'
loop_
_atom_site_label
_atom_site_type_symbol
_atom_site_fract_x
_atom_site_fract_y
_atom_site_fract_z
_atom_site_occupancy
Ce1 Ce 0.0000 0.0000 0.0000 1
Nd1 Nd 0.0410 0.5205 0.6189 1
Y1 Y 0.0000 0.2571 0.5000 1
Y2 Y 0.0906 0.1811 0.2603 1
```

## Properties
M_tot: 0.21 μB per formula unit
total energy: -5.69 eV/atom
formation energy from the elements: 0.21 eV/atom

# 18
CeNd12Y3 | GGA-PBE | relaxed

CIF file:
```
data_CeNd12Y3
_cell_length_a 5.1702
_cell_length_b 5.1702
_cell_length_c 20.6371
_cell_angle_alpha 90.00
_cell_angle_beta 90.00
_cell_angle_gamma 90.00
_space_group_name_H-M_alt 'P 4/m m m'
_space_group_IT_number 123
_space_group_name_Hall '-P 4 2'
loop_
_atom_site_label
_atom_site_type_symbol
_atom_site_fract_x
_atom_site_fract_y
_atom_site_fract_z
_atom_site_occupancy
Ce1 Ce 0.0000 0.0000 0.0000 1
Nd1 Nd 0.0000 0.5000 0.1235 1
Nd2 Nd 0.0000 0.5000 0.3746 1
Nd3 Nd 0.5000 0.5000 0.0000 1
Nd4 Nd 0.5000 0.5000 0.2512 1
Nd5 Nd 0.5000 0.5000 0.5000 1
Y1 Y 0.0000 0.0000 0.2495 1
Y2 Y 0.0000 0.0000 0.5000 1
```

## Properties
M_tot: 1.09 μB per formula unit
total energy: -5.13 eV/atom
formation energy from the elements: 0.03 eV/atom

# 19
CeNdY2 | GGA-PBE | relaxed

CIF file:
```
data_CeNdY2
_cell_length_a 8.1011
_cell_length_b 8.1011
_cell_length_c 8.1011
_cell_angle_alpha 90.00
_cell_angle_beta 90.00
_cell_angle_gamma 90.00
_space_group_name_H-M_alt 'F m -3 m'
_space_group_IT_number 225
_space_group_name_Hall '-F 4 2 3'
loop_
_atom_site_label
_atom_site_type_symbol
_atom_site_fract_x
_atom_site_fract_y
_atom_site_fract_z
_atom_site_occupancy
Ce1 Ce 0.0000 0.0000 0.0000 1
Nd1 Nd 0.0000 0.0000 0.5000 1
Y1 Y 0.2500 0.2500 0.2500 1
```

## Properties
M_tot: 0.86 μB per formula unit
energy relative to the lowest polymorph listed for this composition: 0.1070 eV/atom
total energy: -5.75 eV/atom
formation energy from the elements: 0.16 eV/atom

# 20
CeNd6Y | GGA-PBE | relaxed

CIF file:
```
data_CeNd6Y
_cell_length_a 5.1611
_cell_length_b 5.1611
_cell_length_c 10.3172
_cell_angle_alpha 90.00
_cell_angle_beta 90.00
_cell_angle_gamma 90.00
_space_group_name_H-M_alt 'P 4/m m m'
_space_group_IT_number 123
_space_group_name_Hall '-P 4 2'
loop_
_atom_site_label
_atom_site_type_symbol
_atom_site_fract_x
_atom_site_fract_y
_atom_site_fract_z
_atom_site_occupancy
Ce1 Ce 0.0000 0.0000 0.0000 1
Nd1 Nd 0.0000 0.5000 0.2479 1
Nd2 Nd 0.5000 0.5000 0.0000 1
Nd3 Nd 0.5000 0.5000 0.5000 1
Y1 Y 0.0000 0.0000 0.5000 1
```

## Properties
M_tot: 1.05 μB per formula unit
energy relative to the lowest polymorph listed for this composition: 0.0000 eV/atom
total energy: -5.08 eV/atom
formation energy from the elements: 0.05 eV/atom